Entry from Alexandria: a relaxed La8Tb6Pr crystal (PBE-GGA).

```
data_La8Tb6Pr
_space_group_name_H-M_alt 'P -3'
_space_group_IT_number 147
_cell_length_a 9.5289
_cell_length_b 9.5289
_cell_length_c 6.6938
_cell_angle_alpha 90.00
_cell_angle_beta 90.00
_cell_angle_gamma 120.00
loop_
_space_group_symop_operation_xyz
'x,y,z'
'-x,-y,-z'
'-y,x-y,z'
'y,-x+y,-z'
'-x+y,-x,z'
'x-y,x,-z'
loop_
_atom_site_label
_atom_site_type_symbol
_atom_site_fract_x
_atom_site_fract_y
_atom_site_fract_z
La1 La 0.0443 0.2939 0.3319
La2 La 0.3333 0.6667 0.3804
Tb1 Tb 0.0980 0.4393 0.8458
Pr1 Pr 0.0000 0.0000 0.0000
```

Computed properties:
Total magnetic moment: 0.00 μB/f.u.
Crystal system: trigonal
ΔH_f (0 K): 0.167 eV/atom